The following is a PBE+U calculation of a relaxed PuNi2O6 crystal, from Alexandria.

extended XYZ file:
```
18
Lattice="4.637 0.000 0.000 0.000 5.255 0.000 0.000 0.001 8.822" Properties=species:S:1:pos:R:3 pbc="T T T"
Pu 2.319 2.627 0.000
Pu 0.000 0.000 4.411
Ni 2.320 0.000 1.615
Ni 0.001 2.627 2.796
Ni 4.636 2.628 6.027
Ni 2.318 5.255 7.207
O 1.086 0.862 5.867
O 1.089 0.861 2.957
O 1.349 0.916 0.001
O 3.668 1.711 4.410
O 3.407 1.766 1.454
O 3.405 1.767 7.367
O 3.551 4.394 2.956
O 3.549 4.394 5.865
O 3.288 4.339 8.821
O 0.970 3.544 4.412
O 1.230 3.489 7.368
O 1.232 3.489 1.455
```

Properties
Spin magnetization in μB/cell: 7.97
Electronic total energy in Ry/atom: -0.512